Material: YTlBrO2
Method: DFT, SCAN
State: single point on PBEsol structure

Cell lengths 4.4030, 4.4030, 5.1571 Å; angles 90.00, 90.00, 90.00 degrees
Closest atoms and distances in Å follow each position.
Fractional coordinates of all 5 atoms:
Y  0.0000  0.0000  0.5000  2 Br 2.58
Tl  0.5000  0.5000  0.5000  4 Y 3.11, 8 O 3.39
O  0.0000  0.5000  0.0000  2 Br 2.20
O  0.5000  0.0000  0.0000  2 Br 2.20
Br  0.0000  0.0000  0.0000  4 O 2.20

## Properties
SG: No. 123
Theoretical density in g/cm3: 6.730

Material: SrTaHg2
Method: DFT, SCAN
State: single point on PBEsol structure

Cell lengths 3.0490, 5.4535, 5.8644 Å; angles 105.84, 105.07, 90.00 degrees
Closest atoms and distances in Å follow each position.
Fractional coordinates of all 4 atoms:
Hg  0.0024  0.9152  0.0048  4 Hg 3.05-3.34, 3 Ta 3.06, 4 Sr 3.06-3.19
Hg  0.7424  0.3157  0.4847  3 Sr 3.03-3.14, 4 Ta 3.05-3.22, 4 Hg 3.05-3.34
Sr  0.4947  0.4249  0.9893  7 Hg 3.03-3.19, 2 Sr 3.05
Ta  0.2605  0.8442  0.5211  7 Hg 3.05-3.22, 2 Ta 3.05

## Properties
Energy relative to the elements in eV per formula unit: 1.24
SG: No. 8
Theoretical density in g/cm3: 12.314

Material: KRbHg3
Method: DFT, SCAN
State: single point on PBEsol structure

Cell lengths 6.0946, 6.0946, 6.0946 Å; angles 90.00, 90.00, 90.00 degrees
Closest atoms and distances in Å follow each position.
Fractional coordinates of all 5 atoms:
K  0.0000  0.0000  0.0000  6 Hg 3.05
Hg  0.0000  0.5000  0.0000  2 K 3.05
Hg  0.0000  0.0000  0.5000  2 K 3.05
Hg  0.5000  0.0000  0.0000  2 K 3.05
Rb  0.5000  0.5000  0.5000  12 Hg 4.31

## Properties
Energy relative to the elements in eV per formula unit: -0.19
SG: No. 221
Theoretical density in g/cm3: 5.328

The energy results, record by record, are as follows: -26.363, -55.988, -46.750 eV/atom.